Below is crystalline SbRu4Cl at its relaxed geometry, with properties calculated at the PBE level.

```
data_SbRu4Cl
_symmetry_space_group_name_H-M 'F -4 3 m'
_symmetry_Int_Tables_number 216
_symmetry_space_group_name_Hall 'F -4 2 3'
_cell_length_a 7.4850
_cell_length_b 7.4850
_cell_length_c 7.4850
_cell_angle_alpha 90.00
_cell_angle_beta 90.00
_cell_angle_gamma 90.00
loop_
_atom_site_label
_atom_site_type_symbol
_atom_site_fract_x
_atom_site_fract_y
_atom_site_fract_z
_atom_site_occupancy
Sb1 Sb 0.0000 0.0000 0.0000 1
Ru1 Ru 0.1250 0.1250 0.3750 1
Cl1 Cl 0.2500 0.2500 0.7500 1
```

***

Below is crystalline SbRu2Cl at its relaxed geometry, with properties calculated at the PBE level.

Summary:
The energy relative to the lowest polymorph listed for this composition is 87.4 meV/atom.

```
data_SbRu2Cl
_symmetry_space_group_name_H-M 'P 4 m m'
_symmetry_Int_Tables_number 99
_cell_length_a 2.9766
_cell_length_b 2.9766
_cell_length_c 8.8105
_cell_angle_alpha 90.00
_cell_angle_beta 90.00
_cell_angle_gamma 90.00
loop_
_symmetry_equiv_pos_as_xyz
'x,y,z'
'-y,x,z'
'-x,-y,z'
'y,-x,z'
'-x,y,z'
'y,x,z'
'x,-y,z'
'-y,-x,z'
loop_
_atom_site_label
_atom_site_type_symbol
_atom_site_fract_x
_atom_site_fract_y
_atom_site_fract_z
_atom_site_occupancy
Sb1 Sb 0.0000 0.0000 0.0000 1
Ru1 Ru 0.0000 0.0000 0.5940 1
Ru2 Ru 0.5000 0.5000 0.7728 1
Cl1 Cl 0.5000 0.5000 0.4006 1
```

***

Below is crystalline SbRu2Cl at its relaxed geometry, with properties calculated at the PBE level.

Summary:
The energy relative to the lowest polymorph listed for this composition is 0.0 meV/atom.

```
data_SbRu2Cl
_symmetry_space_group_name_H-M 'P 1 m 1'
_symmetry_Int_Tables_number 6
_cell_length_a 2.9343
_cell_length_b 3.5827
_cell_length_c 7.9880
_cell_angle_alpha 90.00
_cell_angle_beta 99.69
_cell_angle_gamma 90.00
loop_
_symmetry_equiv_pos_as_xyz
'x,y,z'
'x,-y,z'
loop_
_atom_site_label
_atom_site_type_symbol
_atom_site_fract_x
_atom_site_fract_y
_atom_site_fract_z
_atom_site_occupancy
Sb1 Sb 0.0000 0.0000 0.0000 1
Ru1 Ru 0.4030 0.5000 0.7884 1
Ru2 Ru 0.8327 0.0000 0.6349 1
Cl1 Cl 0.7339 0.5000 0.4188 1
```

***

Below is crystalline SbRuCl at its relaxed geometry, with properties calculated at the PBE level.

Summary:
The energy relative to the lowest polymorph listed for this composition is 0.0 meV/atom.

```
data_SbRuCl
_symmetry_space_group_name_H-M 'P 3 m 1'
_symmetry_Int_Tables_number 156
_cell_length_a 3.4044
_cell_length_b 3.4044
_cell_length_c 7.4078
_cell_angle_alpha 90.00
_cell_angle_beta 90.00
_cell_angle_gamma 120.00
loop_
_symmetry_equiv_pos_as_xyz
'x,y,z'
'-y,x-y,z'
'-x+y,-x,z'
'-y,-x,z'
'-x+y,y,z'
'x,x-y,z'
loop_
_atom_site_label
_atom_site_type_symbol
_atom_site_fract_x
_atom_site_fract_y
_atom_site_fract_z
_atom_site_occupancy
Sb1 Sb 0.0000 0.0000 0.0000 1
Ru1 Ru 0.3333 0.6667 0.7459 1
Cl1 Cl 0.6667 0.3333 0.5308 1
```

***

Below is crystalline Sb2RuCl at its relaxed geometry, with properties calculated at the PBE level.

Summary:
The energy relative to the lowest polymorph listed for this composition is 299.9 meV/atom.

```
data_Sb2RuCl
_symmetry_space_group_name_H-M 'R 3 m'
_symmetry_Int_Tables_number 160
_symmetry_space_group_name_Hall 'R 3 -2"'
_cell_length_a 3.4308
_cell_length_b 3.4308
_cell_length_c 27.3222
_cell_angle_alpha 90.00
_cell_angle_beta 90.00
_cell_angle_gamma 120.00
loop_
_atom_site_label
_atom_site_type_symbol
_atom_site_fract_x
_atom_site_fract_y
_atom_site_fract_z
_atom_site_occupancy
Sb1 Sb 0.0000 0.0000 0.0000 1
Sb2 Sb 0.0000 0.0000 0.2400 1
Ru1 Ru 0.0000 0.0000 0.5099 1
Cl1 Cl 0.0000 0.0000 0.7811 1
```

***

Below is crystalline SbRuCl at its relaxed geometry, with properties calculated at the PBE level.

Summary:
The energy relative to the lowest polymorph listed for this composition is 257.8 meV/atom.

```
data_SbRuCl
_symmetry_space_group_name_H-M 'P 3 m 1'
_symmetry_Int_Tables_number 156
_cell_length_a 4.4736
_cell_length_b 4.4736
_cell_length_c 3.2699
_cell_angle_alpha 90.00
_cell_angle_beta 90.00
_cell_angle_gamma 120.00
loop_
_symmetry_equiv_pos_as_xyz
'x,y,z'
'-y,x-y,z'
'-x+y,-x,z'
'-y,-x,z'
'-x+y,y,z'
'x,x-y,z'
loop_
_atom_site_label
_atom_site_type_symbol
_atom_site_fract_x
_atom_site_fract_y
_atom_site_fract_z
_atom_site_occupancy
Sb1 Sb 0.0000 0.0000 0.0000 1
Ru1 Ru 0.3333 0.6667 0.7038 1
Cl1 Cl 0.6667 0.3333 0.5601 1
```

***

Below is crystalline SbRu2Cl at its relaxed geometry, with properties calculated at the PBE level.

Summary:
The energy relative to the lowest polymorph listed for this composition is 641.7 meV/atom.

```
data_SbRu2Cl
_symmetry_space_group_name_H-M 'F -4 3 m'
_symmetry_Int_Tables_number 216
_symmetry_space_group_name_Hall 'F -4 2 3'
_cell_length_a 6.5017
_cell_length_b 6.5017
_cell_length_c 6.5017
_cell_angle_alpha 90.00
_cell_angle_beta 90.00
_cell_angle_gamma 90.00
loop_
_atom_site_label
_atom_site_type_symbol
_atom_site_fract_x
_atom_site_fract_y
_atom_site_fract_z
_atom_site_occupancy
Sb1 Sb 0.0000 0.0000 0.0000 1
Ru1 Ru 0.0000 0.0000 0.5000 1
Ru2 Ru 0.2500 0.2500 0.7500 1
Cl1 Cl 0.2500 0.2500 0.2500 1
```

***

Below is crystalline SbRu2Cl at its relaxed geometry, with properties calculated at the PBE level.

Summary:
The energy relative to the lowest polymorph listed for this composition is 225.2 meV/atom.

```
data_SbRu2Cl
_symmetry_space_group_name_H-M 'R -3 m'
_symmetry_Int_Tables_number 166
_symmetry_space_group_name_Hall '-R 3 2"'
_cell_length_a 3.1547
_cell_length_b 3.1547
_cell_length_c 23.5892
_cell_angle_alpha 90.00
_cell_angle_beta 90.00
_cell_angle_gamma 120.00
loop_
_atom_site_label
_atom_site_type_symbol
_atom_site_fract_x
_atom_site_fract_y
_atom_site_fract_z
_atom_site_occupancy
Sb1 Sb 0.0000 0.0000 0.0000 1
Ru1 Ru 0.0000 0.0000 0.2510 1
Cl1 Cl 0.0000 0.0000 0.5000 1
```

***

Below is crystalline Sb2RuCl at its relaxed geometry, with properties calculated at the PBE level.

Summary:
The energy relative to the lowest polymorph listed for this composition is 148.1 meV/atom.

```
data_Sb2RuCl
_symmetry_space_group_name_H-M 'A m m 2'
_symmetry_Int_Tables_number 38
_cell_length_a 3.6490
_cell_length_b 5.2614
_cell_length_c 9.6099
_cell_angle_alpha 90.00
_cell_angle_beta 90.00
_cell_angle_gamma 90.00
loop_
_symmetry_equiv_pos_as_xyz
'x,y,z'
'-x,-y,z'
'-x,y,z'
'x,-y,z'
'x,y+1/2,z+1/2'
'-x,-y+1/2,z+1/2'
'-x,y+1/2,z+1/2'
'x,-y+1/2,z+1/2'
loop_
_atom_site_label
_atom_site_type_symbol
_atom_site_fract_x
_atom_site_fract_y
_atom_site_fract_z
_atom_site_occupancy
Sb1 Sb 0.0000 0.0000 0.0000 1
Sb2 Sb 0.5000 0.0000 0.2958 1
Ru1 Ru 0.5000 0.0000 0.8153 1
Cl1 Cl 0.0000 0.0000 0.6163 1
```

***

Below is crystalline VSbRuCl2 at its relaxed geometry, with properties calculated at the PBE level.

```
data_VSbRuCl2
_symmetry_space_group_name_H-M 'P 4/m m m'
_symmetry_Int_Tables_number 123
_symmetry_space_group_name_Hall '-P 4 2'
_cell_length_a 4.6470
_cell_length_b 4.6470
_cell_length_c 4.9448
_cell_angle_alpha 90.00
_cell_angle_beta 90.00
_cell_angle_gamma 90.00
loop_
_atom_site_label
_atom_site_type_symbol
_atom_site_fract_x
_atom_site_fract_y
_atom_site_fract_z
_atom_site_occupancy
V1 V 0.0000 0.0000 0.0000 1
Sb1 Sb 0.5000 0.5000 0.0000 1
Ru1 Ru 0.0000 0.0000 0.5000 1
Cl1 Cl 0.0000 0.5000 0.5000 1
```

***

Below is crystalline ZnSbRu2Cl at its relaxed geometry, with properties calculated at the PBE level.

```
data_ZnSbRu2Cl
_symmetry_space_group_name_H-M 'P 4/m m m'
_symmetry_Int_Tables_number 123
_symmetry_space_group_name_Hall '-P 4 2'
_cell_length_a 4.7768
_cell_length_b 4.7768
_cell_length_c 4.9540
_cell_angle_alpha 90.00
_cell_angle_beta 90.00
_cell_angle_gamma 90.00
loop_
_atom_site_label
_atom_site_type_symbol
_atom_site_fract_x
_atom_site_fract_y
_atom_site_fract_z
_atom_site_occupancy
Zn1 Zn 0.0000 0.0000 0.0000 1
Sb1 Sb 0.0000 0.0000 0.5000 1
Ru1 Ru 0.0000 0.5000 0.0000 1
Cl1 Cl 0.5000 0.5000 0.5000 1
```

***

Below is crystalline ScRu2Cl at its relaxed geometry, with properties calculated at the PBE level.

Summary:
The energy relative to the lowest polymorph listed for this composition is 711.2 meV/atom.

```
data_ScRu2Cl
_symmetry_space_group_name_H-M 'F m -3 m'
_symmetry_Int_Tables_number 225
_symmetry_space_group_name_Hall '-F 4 2 3'
_cell_length_a 6.3175
_cell_length_b 6.3175
_cell_length_c 6.3175
_cell_angle_alpha 90.00
_cell_angle_beta 90.00
_cell_angle_gamma 90.00
loop_
_atom_site_label
_atom_site_type_symbol
_atom_site_fract_x
_atom_site_fract_y
_atom_site_fract_z
_atom_site_occupancy
Sc1 Sc 0.0000 0.0000 0.0000 1
Ru1 Ru 0.2500 0.2500 0.2500 1
Cl1 Cl 0.0000 0.0000 0.5000 1
```

***

| no. | magnetic moment (μB/f.u.) | E_form (uncorrected) (meV/atom) |
| --- | --- | --- |
| 1 | 5.47 | 900 |
| 2 | 0.77 | 199 |
| 3 | 0.00 | 111 |
| 4 | 2.02 | 49 |
| 5 | 1.47 | 120 |
| 6 | 0.00 | 307 |
| 7 | 0.02 | 753 |
| 8 | 0.00 | 336 |
| 9 | 0.00 | -32 |
| 10 | 0.00 | 606 |
| 11 | 3.41 | 1348 |
| 12 | 0.00 | 483 |